(1)
# Be4AlSi

A relaxed Be4AlSi crystal (GGA-PBE, Alexandria via LeMat-Bulk).

Cell: 4.440 4.440 4.440 Å, 60.00 60.00 60.00°
Sites, in units of the cell vectors:
Si 0.250 0.250 0.250
Be 0.625 0.625 0.625
Be 0.625 0.124 0.625
Be 0.124 0.625 0.625
Be 0.625 0.625 0.124
Al 0.000 0.000 0.000

## Properties
Space group: F-43m, No. 216


(2)
# RbNaMnSe3

A relaxed RbNaMnSe3 crystal (GGA-PBE, Alexandria via LeMat-Bulk).

Cell: 6.927 7.340 7.938 Å, 117.54 90.00 90.00°
Each line ends with the local moment (μB).
Sites, in units of the cell vectors:
Mn 0.250 0.049 0.099  3.04
Mn 0.750 0.951 0.901  3.04
Rb 0.250 0.773 0.545  0.01
Rb 0.750 0.227 0.455  0.01
Se 0.500 0.218 0.000  -0.12
Se 0.500 0.782 0.000  -0.12
Se 0.750 0.785 0.570  0.01
Se 0.250 0.215 0.430  0.01
Se 0.000 0.782 0.000  -0.12
Se 0.000 0.218 0.000  -0.12
Na 0.750 0.585 0.171  0.01
Na 0.250 0.415 0.829  0.01

## Properties
Space group: Cmcm, No. 63


(3)
# CePmCl4

A relaxed CePmCl4 crystal (GGA-PBE, Alexandria via LeMat-Bulk).

Cell: 6.855 6.927 9.035 Å, 104.74 104.42 109.86°
Each line ends with the local moment (μB).
Sites, in units of the cell vectors:
Ce 0.186 0.936 0.873  1.09
Ce 0.814 0.064 0.127  1.09
Cl 0.929 0.182 0.861  -0.01
Cl 0.568 0.321 0.139  -0.01
Cl 0.325 0.078 0.643  0.00
Cl 0.432 0.679 0.861  -0.01
Cl 0.675 0.922 0.357  0.00
Cl 0.071 0.818 0.139  -0.01
Cl 0.182 0.434 0.357  0.00
Cl 0.818 0.566 0.643  0.00
Pm 0.690 0.440 0.881  0.10
Pm 0.310 0.560 0.119  0.10

## Properties
Space group: C2/c, No. 15


no.,raw formation energy (meV per atom),total DFT energy (no corrections) (eV per atom)
1,207,-3.805
2,-764,-4.416
3,-1902,-4.914